Computed, not measured: a geometry-optimized LiSi2Pd2 structure at the GGA-PBEsol level of DFT.

Computed properties:
**Energy relative to the elements, uncorrected**: -562 meV/atom
**Fermi-level density of states**: 0.33 states/eV/atom
**Calculated total energy**: -5.638 eV per atom

a = 3.997 Å, b = 3.997 Å, c = 9.927 Å
α = 90.00°, β = 90.00°, γ = 90.00°
Space group I4/mmm (No. 139)
Inequivalent atoms, fractional coordinates:
1 Li 0.000 0.000 0.000 (multiplicity 2)
2 Si 0.000 0.000 0.385 (multiplicity 4)
3 Pd 0.000 0.500 0.250 (multiplicity 4)

=====

Computed, not measured: a geometry-optimized Cs2AgAs2 structure at the GGA-PBEsol level of DFT.

Computed properties:
**Fermi-level density of states**: 0.91 states/eV/atom
**Formation enthalpy at 0 K**: 0.042 eV per atom
**Calculated total energy**: -3.040 eV per atom

a = 7.045 Å, b = 7.045 Å, c = 7.490 Å
α = 90.00°, β = 90.00°, γ = 90.00°
Space group I4/mmm (No. 139)
Inequivalent atoms, fractional coordinates:
1 Cs 0.000 0.500 0.250 (multiplicity 4)
2 Ag 0.000 0.000 0.000 (multiplicity 2)
3 As 0.000 0.000 0.339 (multiplicity 4)

=====

Computed, not measured: a geometry-optimized La2Ag2Hg structure at the GGA-PBEsol level of DFT.

Computed properties:
**Fermi-level density of states**: 0.96 states/eV/atom
**Formation enthalpy at 0 K**: -0.099 eV per atom
**Calculated total energy**: -3.676 eV per atom

a = 5.827 Å, b = 5.827 Å, c = 8.140 Å
α = 90.00°, β = 90.00°, γ = 90.00°
Space group I4/mmm (No. 139)
Inequivalent atoms, fractional coordinates:
1 La 0.000 0.500 0.250 (multiplicity 4)
2 Ag 0.000 0.000 0.154 (multiplicity 4)
3 Hg 0.000 0.000 0.500 (multiplicity 2)

=====

Computed, not measured: a geometry-optimized NaReBi3 structure at the GGA-PBEsol level of DFT.

Computed properties:
**Fermi-level density of states**: 1.04 states/eV/atom
**Formation enthalpy at 0 K**: 0.631 eV per atom
**Calculated total energy**: -4.887 eV per atom

a = 5.374 Å, b = 5.374 Å, c = 5.374 Å
α = 90.00°, β = 90.00°, γ = 90.00°
Space group Pm-3m (No. 221)
Inequivalent atoms, fractional coordinates:
1 Na 0.000 0.000 0.000 (multiplicity 1)
2 Re 0.500 0.500 0.500 (multiplicity 1)
3 Bi 0.000 0.500 0.500 (multiplicity 3)

=====

Computed, not measured: a geometry-optimized LiCdAu structure at the GGA-PBEsol level of DFT.

Computed properties:
**Relative energy among the computed polymorphs**: 0 meV/atom
**Fermi-level density of states**: 0.29 states/eV/atom
**Formation enthalpy at 0 K**: -0.376 eV per atom
**Calculated total energy**: -2.739 eV per atom

a = 2.961 Å, b = 3.913 Å, c = 8.707 Å
α = 90.00°, β = 90.00°, γ = 90.00°
Space group Imm2 (No. 44)
Inequivalent atoms, fractional coordinates:
1 Li 0.000 0.000 0.000 (multiplicity 2)
2 Cd 0.000 0.000 0.324 (multiplicity 2)
3 Au 0.000 0.000 0.650 (multiplicity 2)

=====

Computed, not measured: a geometry-optimized Al2ZnCr structure at the GGA-PBEsol level of DFT.

Computed properties:
**Fermi-level density of states**: 0.70 states/eV/atom
**Formation enthalpy at 0 K**: 0.006 eV per atom
**Calculated total energy**: -4.996 eV per atom

a = 2.631 Å, b = 4.475 Å, c = 4.644 Å
α = 90.00°, β = 90.00°, γ = 90.00°
Space group Pmm2 (No. 25)
Inequivalent atoms, fractional coordinates:
1 Al 0.000 0.000 0.000 (multiplicity 1)
2 Al 0.000 0.500 0.354 (multiplicity 1)
3 Zn 0.500 0.000 0.517 (multiplicity 1)
4 Cr 0.500 0.500 0.851 (multiplicity 1)

=====

Computed, not measured: a geometry-optimized RbIn2CuP structure at the GGA-PBEsol level of DFT.

Computed properties:
**Fermi-level density of states**: 0.42 states/eV/atom
**Formation enthalpy at 0 K**: 0.173 eV per atom
**Calculated total energy**: -3.250 eV per atom

a = 5.181 Å, b = 5.181 Å, c = 4.700 Å
α = 90.00°, β = 90.00°, γ = 90.00°
Space group P4/mmm (No. 123)
Inequivalent atoms, fractional coordinates:
1 Rb 0.000 0.000 0.000 (multiplicity 1)
2 In 0.000 0.500 0.500 (multiplicity 2)
3 Cu 0.500 0.500 0.500 (multiplicity 1)
4 P 0.500 0.500 0.000 (multiplicity 1)

=====

Computed, not measured: a geometry-optimized Ba2La4Ti5O18 structure at the GGA-PBEsol level of DFT.

Computed properties:
**Energy relative to the elements, uncorrected**: -3254 meV/atom
**Fermi-level density of states**: 0.00 states/eV/atom
**Calculated total energy**: -8.833 eV per atom

a = 5.5457 Å, b = 5.5457 Å, c = 40.0671 Å
α = 90.00°, β = 90.00°, γ = 120.00°
Space group R3m (No. 160, hexagonal axes)
Inequivalent atoms, fractional coordinates:
1 Ba 0.0000 0.0000 0.0000 (multiplicity 3)
2 Ba 0.0000 0.0000 0.4495 (multiplicity 3)
3 La 0.0000 0.0000 0.1771 (multiplicity 3)
4 La 0.0000 0.0000 0.2737 (multiplicity 3)
5 La 0.0000 0.0000 0.5506 (multiplicity 3)
6 La 0.0000 0.0000 0.7275 (multiplicity 3)
7 Ti 0.0000 0.0000 0.0877 (multiplicity 3)
8 Ti 0.0000 0.0000 0.3622 (multiplicity 3)
9 Ti 0.0000 0.0000 0.6382 (multiplicity 3)
10 Ti 0.0000 0.0000 0.8148 (multiplicity 3)
11 Ti 0.0000 0.0000 0.9120 (multiplicity 3)
12 O 0.9996 0.4998 0.7231 (multiplicity 9)
13 O 0.0025 0.5012 0.1698 (multiplicity 9)
14 O 0.0054 0.5027 0.4450 (multiplicity 9)
15 O 0.0064 0.5032 0.2768 (multiplicity 9)
16 O 0.1669 0.3339 0.3338 (multiplicity 9)
17 O 0.1747 0.3493 0.8917 (multiplicity 9)

=====

Computed, not measured: a geometry-optimized NiHgIN2 structure at the GGA-PBEsol level of DFT.

Computed properties:
**Energy relative to the elements, uncorrected**: 2041 meV/atom
**Fermi-level density of states**: 1.09 states/eV/atom
**Calculated total energy**: -3.067 eV per atom

a = 4.058 Å, b = 4.058 Å, c = 6.719 Å
α = 90.00°, β = 90.00°, γ = 90.00°
Space group P4/mmm (No. 123)
Inequivalent atoms, fractional coordinates:
1 Ni 0.000 0.000 0.000 (multiplicity 1)
2 Hg 0.500 0.500 0.500 (multiplicity 1)
3 I 0.500 0.500 0.000 (multiplicity 1)
4 N 0.000 0.500 0.500 (multiplicity 2)

=====

Computed, not measured: a geometry-optimized BeZnF2 structure at the GGA-PBEsol level of DFT.

Computed properties:
**Energy relative to the elements, uncorrected**: -2125 meV/atom
**Relative energy among the computed polymorphs**: 0 meV/atom
**Fermi-level density of states**: 0.19 states/eV/atom
**Calculated total energy**: -4.485 eV per atom

a = 2.5658 Å, b = 2.5658 Å, c = 25.8266 Å
α = 90.00°, β = 90.00°, γ = 120.00°
Space group R-3m (No. 166, hexagonal axes)
Inequivalent atoms, fractional coordinates:
1 Be 0.0000 0.0000 0.0000 (multiplicity 3)
2 Zn 0.0000 0.0000 0.5000 (multiplicity 3)
3 F 0.0000 0.0000 0.3684 (multiplicity 6)

=====

Computed, not measured: a geometry-optimized TiBBr3 structure at the GGA-PBEsol level of DFT.

Computed properties:
**Energy relative to the elements, uncorrected**: 347 meV/atom
**Fermi-level density of states**: 1.23 states/eV/atom
**Calculated total energy**: -3.843 eV per atom

a = 5.061 Å, b = 5.061 Å, c = 5.061 Å
α = 90.00°, β = 90.00°, γ = 90.00°
Space group Pm-3m (No. 221)
Inequivalent atoms, fractional coordinates:
1 Ti 0.000 0.000 0.000 (multiplicity 1)
2 B 0.500 0.500 0.500 (multiplicity 1)
3 Br 0.000 0.000 0.500 (multiplicity 3)

=====

Computed, not measured: a geometry-optimized Li2Cu structure at the GGA-PBEsol level of DFT.

Computed properties:
**Fermi-level density of states**: 0.34 states/eV/atom
**Formation enthalpy at 0 K**: 0.035 eV per atom
**Calculated total energy**: -2.721 eV per atom

a = 10.204 Å, b = 2.610 Å, c = 6.421 Å
α = 90.00°, β = 104.78°, γ = 90.00°
Space group C2/m (No. 12)
Inequivalent atoms, fractional coordinates:
1 Li 0.125 0.000 0.030 (multiplicity 4)
2 Li 0.181 0.000 0.630 (multiplicity 4)
3 Cu 0.028 0.500 0.316 (multiplicity 4)

=====

Computed, not measured: a geometry-optimized SrHgPt structure at the GGA-PBEsol level of DFT.

Computed properties:
**Fermi-level density of states**: 0.31 states/eV/atom
**Formation enthalpy at 0 K**: -0.567 eV per atom
**Calculated total energy**: -3.691 eV per atom

a = 4.6747 Å, b = 4.6747 Å, c = 3.9663 Å
α = 90.00°, β = 90.00°, γ = 120.00°
Space group P-6m2 (No. 187)
Inequivalent atoms, fractional coordinates:
1 Sr 0.0000 0.0000 0.0000 (multiplicity 1)
2 Hg 0.3333 0.6667 0.5000 (multiplicity 1)
3 Pt 0.6667 0.3333 0.5000 (multiplicity 1)

=====

Computed, not measured: a geometry-optimized RbBa3Be structure at the GGA-PBEsol level of DFT.

Computed properties:
**Fermi-level density of states**: 1.07 states/eV/atom
**Formation enthalpy at 0 K**: 0.340 eV per atom
**Calculated total energy**: -1.955 eV per atom

a = 6.502 Å, b = 6.502 Å, c = 6.502 Å
α = 90.00°, β = 90.00°, γ = 90.00°
Space group Pm-3m (No. 221)
Inequivalent atoms, fractional coordinates:
1 Rb 0.000 0.000 0.000 (multiplicity 1)
2 Ba 0.000 0.500 0.500 (multiplicity 3)
3 Be 0.500 0.500 0.500 (multiplicity 1)

=====

Computed, not measured: a geometry-optimized NaPPd3 structure at the GGA-PBEsol level of DFT.

Computed properties:
**Fermi-level density of states**: 1.00 states/eV/atom
**Formation enthalpy at 0 K**: -0.295 eV per atom
**Calculated total energy**: -5.309 eV per atom

a = 4.479 Å, b = 4.479 Å, c = 4.479 Å
α = 90.00°, β = 90.00°, γ = 90.00°
Space group Pm-3m (No. 221)
Inequivalent atoms, fractional coordinates:
1 Na 0.000 0.000 0.000 (multiplicity 1)
2 P 0.500 0.500 0.500 (multiplicity 1)
3 Pd 0.000 0.500 0.500 (multiplicity 3)

=====

Computed, not measured: a geometry-optimized RbTe3C structure at the GGA-PBEsol level of DFT.

Computed properties:
**Energy relative to the elements, uncorrected**: 604 meV/atom
**Fermi-level density of states**: 0.86 states/eV/atom
**Calculated total energy**: -3.646 eV per atom

a = 4.999 Å, b = 4.999 Å, c = 4.999 Å
α = 90.00°, β = 90.00°, γ = 90.00°
Space group Pm-3m (No. 221)
Inequivalent atoms, fractional coordinates:
1 Rb 0.000 0.000 0.000 (multiplicity 1)
2 Te 0.000 0.500 0.500 (multiplicity 3)
3 C 0.500 0.500 0.500 (multiplicity 1)

=====

Computed, not measured: a geometry-optimized Zn2RuRh structure at the GGA-PBEsol level of DFT.

Computed properties:
**Fermi-level density of states**: 0.79 states/eV/atom
**Formation enthalpy at 0 K**: -0.074 eV per atom
**Calculated total energy**: -5.442 eV per atom

a = 8.428 Å, b = 2.686 Å, c = 4.792 Å
α = 90.00°, β = 99.96°, γ = 90.00°
Space group C2/m (No. 12)
Inequivalent atoms, fractional coordinates:
1 Zn 0.249 0.000 0.249 (multiplicity 4)
2 Ru 0.000 0.000 0.500 (multiplicity 2)
3 Rh 0.000 0.500 0.000 (multiplicity 2)

=====

Computed, not measured: a geometry-optimized KZnRh3 structure at the GGA-PBEsol level of DFT.

Computed properties:
**Fermi-level density of states**: 2.24 states/eV/atom
**Formation enthalpy at 0 K**: 1.099 eV per atom
**Calculated total energy**: -4.327 eV per atom

a = 4.628 Å, b = 4.628 Å, c = 4.628 Å
α = 90.00°, β = 90.00°, γ = 90.00°
Space group Pm-3m (No. 221)
Inequivalent atoms, fractional coordinates:
1 K 0.000 0.000 0.000 (multiplicity 1)
2 Zn 0.500 0.500 0.500 (multiplicity 1)
3 Rh 0.000 0.500 0.500 (multiplicity 3)

=====

Computed, not measured: a geometry-optimized TcSeCl2 structure at the GGA-PBEsol level of DFT.

Computed properties:
**Energy relative to the elements, uncorrected**: -363 meV/atom
**Fermi-level density of states**: 0.56 states/eV/atom
**Calculated total energy**: -5.146 eV per atom

a = 4.739 Å, b = 13.099 Å, c = 3.062 Å
α = 90.00°, β = 90.00°, γ = 90.00°
Space group Cmmm (No. 65)
Inequivalent atoms, fractional coordinates:
1 Tc 0.000 0.000 0.000 (multiplicity 2)
2 Se 0.000 0.500 0.000 (multiplicity 2)
3 Cl 0.000 0.140 0.500 (multiplicity 4)

=====

Computed, not measured: a geometry-optimized K2InAgBr6 structure at the GGA-PBEsol level of DFT.

Computed properties:
**Energy relative to the elements, uncorrected**: -1050 meV/atom
**Fermi-level density of states**: 0.11 states/eV/atom
**Calculated total energy**: -3.028 eV per atom

a = 10.808 Å, b = 10.808 Å, c = 10.808 Å
α = 90.00°, β = 90.00°, γ = 90.00°
Space group Fm-3m (No. 225)
Inequivalent atoms, fractional coordinates:
1 K 0.250 0.250 0.250 (multiplicity 8)
2 In 0.000 0.000 0.000 (multiplicity 4)
3 Ag 0.000 0.000 0.500 (multiplicity 4)
4 Br 0.000 0.000 0.247 (multiplicity 24)